Entry 1:
A plane-wave DFT calculation with PBE was carried out for a relaxed Ni2AgPd2 crystal.

The space group is I4/mmm (No. 139) and the conventional cell measures 3.8008, 3.8008 and 10.7660 Å, with angles of 90.00, 90.00 and 90.00 degrees. Symmetry generates all atoms from Ni at (0.0000, 0.0000, 0.1004), Ag at (0.0000, 0.0000, 0.5000) and Pd at (0.0000, 0.5000, 0.2500).

The polymorph energy (0 for the lowest one) comes out at 2 meV/atom. The magnetization comes out at 1.93 μB per formula unit. For the formation energy, the calculation gives 0.33 eV per atom.

=====

Entry 2:
A plane-wave DFT calculation with PBE was carried out for a relaxed NiAg2Pd2 crystal.

The space group is I4/mmm (No. 139) and the conventional cell measures 3.6335, 3.6335 and 13.4148 Å, with angles of 90.00, 90.00 and 90.00 degrees. Symmetry generates all atoms from Ni at (0.0000, 0.0000, 0.0000), Ag at (0.0000, 0.0000, 0.4033) and Pd at (0.0000, 0.5000, 0.2500).

The polymorph energy (0 for the lowest one) comes out at 0 meV/atom. The magnetization comes out at 0.51 μB per formula unit. For the formation energy, the calculation gives 0.52 eV per atom.

=====

Entry 3:
A plane-wave DFT calculation with PBE was carried out for a relaxed NiAgPd crystal.

The space group is F-43m (No. 216) and the conventional cell measures 5.8562, 5.8562 and 5.8562 Å, with angles of 90.00, 90.00 and 90.00 degrees. Symmetry generates all atoms from Ni at (0.0000, 0.0000, 0.0000), Ag at (0.2500, 0.2500, 0.7500) and Pd at (0.2500, 0.2500, 0.2500).

The polymorph energy (0 for the lowest one) comes out at 0 meV/atom. The magnetization comes out at 0.78 μB per formula unit. For the formation energy, the calculation gives 0.38 eV per atom.

=====

Entry 4:
A plane-wave DFT calculation with PBE was carried out for a relaxed NiAg2Pd crystal.

The space group is F-43m (No. 216) and the conventional cell measures 6.2928, 6.2928 and 6.2928 Å, with angles of 90.00, 90.00 and 90.00 degrees. Symmetry generates all atoms from Ni at (0.0000, 0.0000, 0.0000), Ag at (0.0000, 0.0000, 0.5000), Ag at (0.2500, 0.2500, 0.2500) and Pd at (0.2500, 0.2500, 0.7500).

The magnetization comes out at 0.00 μB per formula unit. For the formation energy, the calculation gives 0.15 eV per atom.

=====

Entry 5:
A plane-wave DFT calculation with PBE was carried out for a relaxed NiAgSbPd crystal.

The space group is F-43m (No. 216) and the conventional cell measures 6.4076, 6.4076 and 6.4076 Å, with angles of 90.00, 90.00 and 90.00 degrees. Symmetry generates all atoms from Ni at (0.0000, 0.0000, 0.0000), Ag at (0.2500, 0.2500, 0.2500), Sb at (0.2500, 0.2500, 0.7500) and Pd at (0.0000, 0.0000, 0.5000).

The magnetization comes out at 0.00 μB per formula unit. Its total DFT energy (no corrections) is -4.546 eV/atom.

=====

Entry 6:
A plane-wave DFT calculation with PBE was carried out for a relaxed SiNiAgPd crystal.

The space group is F-43m (No. 216) and the conventional cell measures 6.0771, 6.0771 and 6.0771 Å, with angles of 90.00, 90.00 and 90.00 degrees. Symmetry generates all atoms from Si at (0.0000, 0.0000, 0.0000), Ni at (0.2500, 0.2500, 0.2500), Ag at (0.0000, 0.0000, 0.5000) and Pd at (0.2500, 0.2500, 0.7500).

The magnetization comes out at 0.00 μB per formula unit. Its total DFT energy (no corrections) is -4.862 eV/atom.

=====

Entry 7:
A plane-wave DFT calculation with PBE was carried out for a relaxed TlNiAgPd crystal.

The space group is F-43m (No. 216) and the conventional cell measures 6.4415, 6.4415 and 6.4415 Å, with angles of 90.00, 90.00 and 90.00 degrees. Symmetry generates all atoms from Tl at (0.0000, 0.0000, 0.0000), Ni at (0.2500, 0.2500, 0.2500), Ag at (0.0000, 0.0000, 0.5000) and Pd at (0.2500, 0.2500, 0.7500).

The magnetization comes out at 0.00 μB per formula unit. Its total DFT energy (no corrections) is -3.925 eV/atom.

=====

Entry 8:
A plane-wave DFT calculation with PBE was carried out for a relaxed Pr2Ni2Ag crystal.

The space group is Cmmm (No. 65) and the conventional cell measures 4.0093, 14.1609 and 3.8449 Å, with angles of 90.00, 90.00 and 90.00 degrees. Symmetry generates all atoms from Pr at (0.0000, 0.1342, 0.0000), Ni at (0.0000, 0.2993, 0.5000) and Ag at (0.0000, 0.5000, 0.5000).

The magnetization comes out at 0.00 μB per formula unit. For the formation energy, the calculation gives -0.33 eV per atom.

=====

Entry 9:
A plane-wave DFT calculation with PBE was carried out for a relaxed PrNi4Ag crystal.

The space group is F-43m (No. 216) and the conventional cell measures 7.1021, 7.1021 and 7.1021 Å, with angles of 90.00, 90.00 and 90.00 degrees. Symmetry generates all atoms from Pr at (0.0000, 0.0000, 0.0000), Ni at (0.1240, 0.1240, 0.6240) and Ag at (0.2500, 0.2500, 0.2500).

The magnetization comes out at 1.13 μB per formula unit. For the formation energy, the calculation gives -0.20 eV per atom.

=====

Entry 10:
A plane-wave DFT calculation with PBE was carried out for a relaxed PrNiAg crystal.

The space group is F-43m (No. 216) and the conventional cell measures 6.7642, 6.7642 and 6.7642 Å, with angles of 90.00, 90.00 and 90.00 degrees. Symmetry generates all atoms from Pr at (0.0000, 0.0000, 0.0000), Ni at (0.2500, 0.2500, 0.2500) and Ag at (0.2500, 0.2500, 0.7500).

The magnetization comes out at 0.00 μB per formula unit. For the formation energy, the calculation gives 0.39 eV per atom.

=====

Entry 11:
A plane-wave DFT calculation with PBE was carried out for a relaxed NiAg2Pt3 crystal.

The space group is P-3m1 (No. 164) and the conventional cell measures 2.7899, 2.7899 and 13.7892 Å, with angles of 90.00, 90.00 and 120.00 degrees. Symmetry generates all atoms from Ni at (0.0000, 0.0000, 0.0000), Ag at (0.3333, 0.6667, 0.6743), Pt at (0.0000, 0.0000, 0.5000) and Pt at (0.3333, 0.6667, 0.1495).

The magnetization comes out at 1.03 μB per formula unit. For the formation energy, the calculation gives -0.03 eV per atom.

=====

Entry 12:
A plane-wave DFT calculation with PBE was carried out for a relaxed ZnNiAgPt crystal.

The space group is F-43m (No. 216) and the conventional cell measures 6.1632, 6.1632 and 6.1632 Å, with angles of 90.00, 90.00 and 90.00 degrees. Symmetry generates all atoms from Zn at (0.0000, 0.0000, 0.0000), Ni at (0.2500, 0.2500, 0.2500), Ag at (0.0000, 0.0000, 0.5000) and Pt at (0.2500, 0.2500, 0.7500).

The magnetization comes out at 0.00 μB per formula unit. For the formation energy, the calculation gives -0.08 eV per atom.

=====

Repeat the third record exactly.
A plane-wave DFT calculation with PBE was carried out for a relaxed NiAgPd crystal.

The space group is F-43m (No. 216) and the conventional cell measures 5.8562, 5.8562 and 5.8562 Å, with angles of 90.00, 90.00 and 90.00 degrees. Symmetry generates all atoms from Ni at (0.0000, 0.0000, 0.0000), Ag at (0.2500, 0.2500, 0.7500) and Pd at (0.2500, 0.2500, 0.2500).

The polymorph energy (0 for the lowest one) comes out at 0 meV/atom. The magnetization comes out at 0.78 μB per formula unit. For the formation energy, the calculation gives 0.38 eV per atom.